A plane-wave DFT calculation with PBE with a Hubbard U was carried out for Rb2VNi3F12 after structural relaxation.

The structure in POSCAR format:
```
Rb2VNi3F12
1.0
3.634 2.098 6.176
-3.634 2.098 6.176
0.000 -4.196 6.176
Rb V Ni F
2 1 3 12
Cartesian
0.000 0.000 1.963
0.000 0.000 16.564
0.000 0.000 9.264
-1.817 -1.049 6.176
-1.817 1.049 12.351
0.000 2.098 6.176
0.000 -1.681 5.683
-1.456 0.841 5.683
-1.342 -0.775 8.201
-1.456 -0.841 12.844
0.000 -1.550 10.326
-1.342 0.775 10.326
1.342 -0.775 8.201
0.000 1.550 8.201
1.456 0.841 5.683
1.342 0.775 10.326
1.456 -0.841 12.844
0.000 1.681 12.844
```

Computed properties:
N(E_F) = 0.41 states/eV per atom
SG = R-3m, No. 166
E = -4.6561 eV per atom